Below is an optimized crystal structure of Na2NiOs3O12, with properties calculated at the GGA+U level.

Calculated values
The total DFT energy (no corrections) is -6.510 eV/atom. As for the space group: R-3m (166). The value obtained for the magnetic moment is 0.9 μB per cell.

Structure (POSCAR):
```
Na2NiOs3O12
1.0
3.648 2.106 5.844
-3.648 2.106 5.844
0.000 -4.213 5.844
Na Ni Os O
2 1 3 12
direct
0.189 0.189 0.189
0.811 0.811 0.811
0.500 0.500 0.500
0.000 0.500 0.500
0.500 0.000 0.500
0.500 0.500 0.000
0.168 0.568 0.568
0.187 0.187 0.566
0.187 0.566 0.187
0.432 0.432 0.832
0.432 0.832 0.432
0.434 0.813 0.813
0.566 0.187 0.187
0.568 0.168 0.568
0.568 0.568 0.168
0.813 0.434 0.813
0.813 0.813 0.434
0.832 0.432 0.432
```